Entry 1:
DFT (GGA-PBE) results for a geometry-optimized CaNd4SmS8 structure.

a b c (Å): 8.320 8.320 8.320
angles (deg): 60.15 60.15 60.15
Atoms (fractional coordinates):
Ca 0.000 0.000 0.000
Nd 0.120 0.627 0.627
Nd 0.250 0.250 0.250
Nd 0.627 0.120 0.627
Nd 0.627 0.627 0.120
Sm 0.627 0.627 0.627
S 0.383 0.383 0.383
S 0.385 0.385 0.849
S 0.385 0.849 0.385
S 0.401 0.865 0.865
S 0.849 0.385 0.385
S 0.865 0.401 0.865
S 0.865 0.865 0.401
S 0.867 0.867 0.867

Calculated values
E_tot = -86.37 eV per cell
SG = No. 160
E_form (uncorrected) = -1.97 eV per atom

Entry 2:
DFT (GGA-PBE) results for a geometry-optimized ScAlTl2 structure.

a b c (Å): 10.307 10.307 10.307
angles (deg): 18.78 18.78 18.78
Atoms (fractional coordinates):
Sc 0.000 0.000 0.000
Al 0.260 0.260 0.260
Tl 0.509 0.509 0.509
Tl 0.749 0.749 0.749

Calculated values
Energy of formation from the pure elements = 0.1 eV per formula unit
E_tot = -14.73 eV per cell
SG = No. 160

Entry 3:
DFT (GGA-PBE) results for a geometry-optimized VMoP2 structure.

a b c (Å): 6.595 6.595 6.595
angles (deg): 28.33 28.33 28.33
Atoms (fractional coordinates):
V 0.000 0.000 0.000
Mo 0.836 0.836 0.836
P 0.255 0.255 0.255
P 0.415 0.415 0.415

Calculated values
Energy of formation from the pure elements = -1.8 eV per formula unit
E_tot = -32.61 eV per cell
SG = No. 160

Entry 4:
DFT (GGA-PBE) results for a geometry-optimized Ca3ZnAg structure.

a b c (Å): 8.185 4.416 8.675
angles (deg): 90.00 110.42 90.00
Atoms (fractional coordinates):
Ca 0.077 0.250 0.221
Ca 0.316 0.250 0.927
Ca 0.362 0.750 0.591
Ca 0.638 0.250 0.409
Ca 0.684 0.750 0.073
Ca 0.923 0.750 0.779
Zn 0.053 0.250 0.575
Zn 0.947 0.750 0.425
Ag 0.351 0.750 0.197
Ag 0.649 0.250 0.803

Calculated values
Energy of formation from the pure elements = -1.2 eV per formula unit
E_tot = -22.64 eV per cell
SG = No. 11

Entry 5:
DFT (GGA-PBE) results for a geometry-optimized TaZn3Cl structure.

a b c (Å): 4.656 4.656 4.656
angles (deg): 90.00 90.00 90.00
Atoms (fractional coordinates):
Ta 0.000 0.000 0.000
Zn 0.000 0.500 0.500
Zn 0.500 0.000 0.500
Zn 0.500 0.500 0.000
Cl 0.500 0.500 0.500

Calculated values
E_tot = -11.71 eV per cell
SG = No. 221
E_form (uncorrected) = 1.16 eV per atom

Entry 6:
DFT (GGA-PBE) results for a geometry-optimized Zn8PdAu6 structure.

a b c (Å): 6.914 6.914 6.914
angles (deg): 67.68 67.68 67.68
Atoms (fractional coordinates):
Zn 0.089 0.386 0.690
Zn 0.159 0.159 0.159
Zn 0.310 0.911 0.614
Zn 0.386 0.690 0.089
Zn 0.614 0.310 0.911
Zn 0.690 0.089 0.386
Zn 0.841 0.841 0.841
Zn 0.911 0.614 0.310
Pd 0.500 0.500 0.500
Au 0.087 0.790 0.444
Au 0.210 0.556 0.913
Au 0.444 0.087 0.790
Au 0.556 0.913 0.210
Au 0.790 0.444 0.087
Au 0.913 0.210 0.556

Calculated values
Energy of formation from the pure elements = -2.6 eV per formula unit
E_tot = -37.68 eV per cell
SG = No. 148

Entry 7:
DFT (GGA-PBE) results for a geometry-optimized PaCo3Ge structure.

a b c (Å): 6.308 6.308 4.580
angles (deg): 90.00 90.00 129.29
Atoms (fractional coordinates):
Pa 0.086 0.914 0.750
Pa 0.914 0.086 0.250
Co 0.109 0.425 0.750
Co 0.425 0.109 0.250
Co 0.500 0.500 0.000
Co 0.500 0.500 0.500
Co 0.575 0.891 0.750
Co 0.891 0.575 0.250
Ge 0.316 0.684 0.250
Ge 0.684 0.316 0.750

Calculated values
Energy of formation from the pure elements = -1.7 eV per formula unit
E_tot = -74.31 eV per cell
SG = No. 63

Entry 8:
DFT (GGA-PBE) results for a geometry-optimized LaV2Ru structure.

a b c (Å): 9.131 9.131 9.131
angles (deg): 150.70 150.70 41.92
Atoms (fractional coordinates):
La 0.375 0.625 0.750
La 0.625 0.375 0.250
V 0.000 0.000 0.000
V 0.000 0.000 0.500
V 0.000 0.500 0.000
V 0.500 0.000 0.500
Ru 0.125 0.875 0.250
Ru 0.875 0.125 0.750

Calculated values
Energy of formation from the pure elements = 2.5 eV per formula unit
E_tot = -59.97 eV per cell
SG = No. 141

Entry 9:
DFT (GGA-PBE) results for a geometry-optimized MnTlIn2Br6 structure.

a b c (Å): 7.285 8.318 12.843
angles (deg): 90.00 121.73 90.00
Atoms (fractional coordinates):
Mn 0.000 0.000 0.000
Mn 0.000 0.500 0.500
Tl 0.500 0.000 0.500
Tl 0.500 0.500 0.000
In 0.299 0.062 0.779
In 0.299 0.438 0.279
In 0.701 0.562 0.721
In 0.701 0.938 0.221
Br 0.067 0.102 0.218
Br 0.067 0.398 0.718
Br 0.249 0.741 0.106
Br 0.249 0.759 0.606
Br 0.343 0.156 0.036
Br 0.343 0.344 0.536
Br 0.657 0.656 0.464
Br 0.657 0.844 0.964
Br 0.751 0.241 0.394
Br 0.751 0.259 0.894
Br 0.933 0.602 0.282
Br 0.933 0.898 0.782

Calculated values
E_tot = -67.99 eV per cell
SG = No. 14
E_form (uncorrected) = -0.69 eV per atom

Entry 10:
DFT (GGA-PBE) results for a geometry-optimized HoSc2C structure.

a b c (Å): 9.299 9.299 9.299
angles (deg): 20.61 20.61 20.61
Atoms (fractional coordinates):
Ho 0.000 0.000 0.000
Sc 0.122 0.122 0.122
Sc 0.878 0.878 0.878
C 0.500 0.500 0.500

Calculated values
Energy of formation from the pure elements = -0.8 eV per formula unit
E_tot = -27.27 eV per cell
SG = No. 166

Entry 11:
DFT (GGA-PBE) results for a geometry-optimized AcNpTe2 structure.

a b c (Å): 5.590 5.590 5.590
angles (deg): 60.00 60.00 60.00
Atoms (fractional coordinates):
Ac 0.000 0.000 0.000
Np 0.500 0.500 0.500
Te 0.250 0.250 0.250
Te 0.750 0.750 0.750

Calculated values
E_tot = -26.83 eV per cell
SG = No. 225
E_form (uncorrected) = -0.87 eV per atom

Entry 12:
DFT (GGA-PBE) results for a geometry-optimized PaPtAu structure.

a b c (Å): 4.656 4.656 4.656
angles (deg): 60.00 60.00 60.00
Atoms (fractional coordinates):
Pa 0.000 0.000 0.000
Pt 0.750 0.750 0.750
Au 0.500 0.500 0.500

Calculated values
Energy of formation from the pure elements = -1.6 eV per formula unit
E_tot = -20.42 eV per cell
SG = No. 216

Entry 13:
DFT (GGA-PBE) results for a geometry-optimized HoVGe2 structure.

a b c (Å): 5.577 5.577 5.577
angles (deg): 44.30 44.30 44.30
Atoms (fractional coordinates):
Ho 0.000 0.000 0.000
V 0.500 0.500 0.500
Ge 0.227 0.227 0.227
Ge 0.773 0.773 0.773

Calculated values
Energy of formation from the pure elements = -1.6 eV per formula unit
E_tot = -24.50 eV per cell
SG = No. 166

Entry 14:
DFT (GGA-PBE) results for a geometry-optimized ZrAl2Cu structure.

a b c (Å): 2.987 2.987 8.851
angles (deg): 90.00 90.00 120.00
Atoms (fractional coordinates):
Zr 0.000 0.000 0.000
Al 0.333 0.667 0.720
Al 0.667 0.333 0.280
Cu 0.000 0.000 0.500

Calculated values
Energy of formation from the pure elements = -0.8 eV per formula unit
E_tot = -20.88 eV per cell
SG = No. 164

Entry 15:
DFT (GGA-PBE) results for a geometry-optimized Ac12Tl6Cu structure.

a b c (Å): 9.117 9.117 9.117
angles (deg): 92.83 92.83 92.83
Atoms (fractional coordinates):
Ac 0.047 0.694 0.930
Ac 0.070 0.953 0.306
Ac 0.182 0.536 0.411
Ac 0.306 0.070 0.953
Ac 0.411 0.182 0.536
Ac 0.464 0.589 0.818
Ac 0.536 0.411 0.182
Ac 0.589 0.818 0.464
Ac 0.694 0.930 0.047
Ac 0.818 0.464 0.589
Ac 0.930 0.047 0.694
Ac 0.953 0.306 0.070
Tl 0.157 0.359 0.761
Tl 0.239 0.843 0.641
Tl 0.359 0.761 0.157
Tl 0.641 0.239 0.843
Tl 0.761 0.157 0.359
Tl 0.843 0.641 0.239
Cu 0.500 0.500 0.500

Calculated values
Energy of formation from the pure elements = -2.8 eV per formula unit
E_tot = -70.37 eV per cell
SG = No. 148

Entry 16:
DFT (GGA-PBE) results for a geometry-optimized Pr2RhBr structure.

a b c (Å): 3.519 3.519 8.354
angles (deg): 90.00 90.00 90.00
Atoms (fractional coordinates):
Pr 0.000 0.000 0.213
Pr 0.000 0.000 0.787
Rh 0.500 0.500 0.000
Br 0.500 0.500 0.500

Calculated values
E_tot = -22.13 eV per cell
SG = No. 123
E_form (uncorrected) = -0.89 eV per atom

Entry 17:
DFT (GGA-PBE) results for a geometry-optimized LaMnSi2 structure.

a b c (Å): 3.690 3.962 5.603
angles (deg): 90.00 90.00 90.00
Atoms (fractional coordinates):
La 0.000 0.000 0.000
Mn 0.500 0.000 0.497
Si 0.000 0.500 0.468
Si 0.500 0.500 0.757

Calculated values
E_tot = -25.98 eV per cell
SG = No. 25
E_form (uncorrected) = -0.26 eV per atom

Entry 18:
DFT (GGA-PBE) results for a geometry-optimized In2IrSe structure.

a b c (Å): 7.461 7.461 7.461
angles (deg): 29.24 29.24 29.24
Atoms (fractional coordinates):
In 0.244 0.244 0.244
In 0.756 0.756 0.756
Ir 0.500 0.500 0.500
Se 0.000 0.000 0.000

Calculated values
E_tot = -17.67 eV per cell
SG = No. 166
E_form (uncorrected) = 0.04 eV per atom

Entry 19:
DFT (GGA-PBE) results for a geometry-optimized TcHg2OsPb structure.

a b c (Å): 5.302 5.302 4.659
angles (deg): 90.00 90.00 90.00
Atoms (fractional coordinates):
Tc 0.000 0.000 0.000
Hg 0.000 0.500 0.000
Hg 0.500 0.000 0.000
Os 0.000 0.000 0.500
Pb 0.500 0.500 0.500

Calculated values
Energy of formation from the pure elements = 5.6 eV per formula unit
E_tot = -20.34 eV per cell
SG = No. 123

Entry 20:
DFT (GGA-PBE) results for a geometry-optimized TlCr4Re structure.

a b c (Å): 4.875 4.875 4.875
angles (deg): 60.00 60.00 60.00
Atoms (fractional coordinates):
Tl 0.000 0.000 0.000
Cr 0.374 0.374 0.374
Cr 0.374 0.374 0.877
Cr 0.374 0.877 0.374
Cr 0.877 0.374 0.374
Re 0.750 0.750 0.750

Calculated values
Energy of formation from the pure elements = 2.4 eV per formula unit
E_tot = -50.86 eV per cell
SG = No. 216

Across the entries above, DOS(E_F) takes the values 3.5; 2.7; 4.1; 7.0; 2.5; 4.3; 4.9; 12.5; 8.6; 4.7; 13.1; 6.1; 3.6; 0.7; 23.8; 2.7; 3.4; 2.8; 4.4; 7.1 states/eV/cell, respectively.